Computed, not measured: an optimized crystal structure of Y2TmIn3Co3 at the GGA-PBE level of DFT.

Properties
Symmetry   Amm2 (38)

a b c (Å): 3.833 7.345 7.345
angles (deg): 119.73 90.00 90.00
Positions (direct):
Y1 0.000 0.204 0.796
Y2 0.000 0.796 0.204
Tm1 0.000 0.611 0.611
In1 0.500 0.205 0.459
In2 0.500 0.459 0.205
In3 0.500 0.948 0.948
Co1 0.000 0.206 0.206
Co2 0.500 0.539 0.866
Co3 0.500 0.866 0.539



Computed, not measured: an optimized crystal structure of NdSb at the GGA-PBE level of DFT.

Properties
Symmetry   P-6m2 (187)

a b c (Å): 4.296 4.296 4.076
angles (deg): 90.00 90.00 120.00
Positions (direct):
Nd1 0.000 0.000 0.000
Sb1 0.667 0.333 0.500



Computed, not measured: an optimized crystal structure of GeMo4N3 at the GGA-PBE level of DFT.

Properties
Symmetry   P6_3/mmc (194)

a b c (Å): 3.106 3.106 22.397
angles (deg): 90.00 90.00 120.00
Positions (direct):
Ge1 0.333 0.667 0.250
Ge2 0.667 0.333 0.750
Mo1 0.000 0.000 0.162
Mo2 0.000 0.000 0.338
Mo3 0.000 0.000 0.662
Mo4 0.000 0.000 0.838
Mo5 0.333 0.667 0.051
Mo6 0.333 0.667 0.449
Mo7 0.667 0.333 0.551
Mo8 0.667 0.333 0.949
N1 0.000 0.000 0.000
N2 0.000 0.000 0.500
N3 0.333 0.667 0.609
N4 0.333 0.667 0.891
N5 0.667 0.333 0.109
N6 0.667 0.333 0.391



Computed, not measured: an optimized crystal structure of GdY2Mg3Ir2Pt at the GGA-PBE level of DFT.

Properties
Symmetry   Amm2 (38)

a b c (Å): 4.051 7.339 7.339
angles (deg): 119.98 90.00 90.00
Positions (direct):
Gd1 0.000 0.000 0.000
Y1 0.000 0.173 0.586
Y2 0.000 0.586 0.173
Mg1 0.500 0.339 0.339
Mg2 0.500 0.586 0.834
Mg3 0.500 0.834 0.586
Ir1 0.500 0.253 0.920
Ir2 0.500 0.920 0.253
Pt1 0.000 0.586 0.586



Computed, not measured: an optimized crystal structure of YAgHg2 at the GGA-PBE level of DFT.

Properties
Symmetry   I4/mmm (139)
Calculated formation energy   -0.351 eV/atom

a b c (Å): 5.019 5.019 5.019
angles (deg): 120.07 120.07 89.88
Positions (direct):
Y1 0.000 0.000 0.000
Ag1 0.500 0.500 0.000
Hg1 0.250 0.750 0.500
Hg2 0.750 0.250 0.500



Computed, not measured: an optimized crystal structure of RbFeAs2Ir at the GGA-PBE level of DFT.

Properties
Symmetry   I-4m2 (119)

a b c (Å): 7.674 7.674 7.674
angles (deg): 150.13 150.13 42.76
Positions (direct):
Rb1 0.000 0.000 0.000
Fe1 0.750 0.250 0.500
As1 0.345 0.345 0.000
As2 0.655 0.655 0.000
Ir1 0.250 0.750 0.500



Computed, not measured: an optimized crystal structure of Dy4PbSN2 at the GGA-PBE level of DFT.

Properties
Symmetry   P-6m2 (187)

a b c (Å): 3.575 3.575 14.126
angles (deg): 90.00 90.00 120.00
Positions (direct):
Dy1 0.000 0.000 0.132
Dy2 0.000 0.000 0.868
Dy3 0.333 0.667 0.317
Dy4 0.333 0.667 0.683
Pb1 0.000 0.000 0.500
S1 0.333 0.667 0.000
N1 0.667 0.333 0.225
N2 0.667 0.333 0.775



Computed, not measured: an optimized crystal structure of RbLaHf at the GGA-PBE level of DFT.

Properties
Relative energy among the computed polymorphs   0 meV/atom
Symmetry   F-43m (216)

a b c (Å): 5.760 5.760 5.760
angles (deg): 60.00 60.00 60.00
Positions (direct):
Rb1 0.000 0.000 0.000
La1 0.500 0.500 0.500
Hf1 0.750 0.750 0.750



Computed, not measured: an optimized crystal structure of ZrAs2Pd at the GGA-PBE level of DFT.

Properties
Symmetry   F-43m (216)

a b c (Å): 4.693 4.693 4.693
angles (deg): 60.00 60.00 60.00
Positions (direct):
Zr1 0.000 0.000 0.000
As1 0.250 0.250 0.250
As2 0.500 0.500 0.500
Pd1 0.750 0.750 0.750



Computed, not measured: an optimized crystal structure of TbNd2Al3Si2Pd at the GGA-PBE level of DFT.

Properties
Symmetry   Amm2 (38)

a b c (Å): 4.327 7.034 7.034
angles (deg): 120.10 90.00 90.00
Positions (direct):
Tb1 0.000 0.000 0.000
Nd1 0.000 0.166 0.583
Nd2 0.000 0.583 0.166
Al1 0.500 0.347 0.347
Al2 0.500 0.588 0.821
Al3 0.500 0.821 0.588
Si1 0.500 0.244 0.920
Si2 0.500 0.920 0.244
Pd1 0.000 0.591 0.591



Computed, not measured: an optimized crystal structure of NaYAgTe3 at the GGA-PBE level of DFT.

Properties
Symmetry   Pnma (62)

a b c (Å): 11.328 4.205 15.052
angles (deg): 90.00 90.00 90.00
Positions (direct):
Na1 0.226 0.250 0.017
Na2 0.274 0.750 0.517
Na3 0.726 0.250 0.483
Na4 0.774 0.750 0.983
Y1 0.018 0.750 0.746
Y2 0.482 0.250 0.246
Y3 0.518 0.750 0.754
Y4 0.982 0.250 0.254
Ag1 0.236 0.750 0.218
Ag2 0.264 0.250 0.718
Ag3 0.736 0.750 0.282
Ag4 0.764 0.250 0.782
Te1 0.036 0.750 0.111
Te2 0.073 0.250 0.603
Te3 0.233 0.250 0.342
Te4 0.267 0.750 0.842
Te5 0.427 0.750 0.103
Te6 0.464 0.250 0.611
Te7 0.536 0.750 0.389
Te8 0.573 0.250 0.897
Te9 0.733 0.250 0.158
Te10 0.767 0.750 0.658
Te11 0.927 0.750 0.397
Te12 0.964 0.250 0.889



Computed, not measured: an optimized crystal structure of LaTcTe at the GGA-PBE level of DFT.

Properties
Relative energy among the computed polymorphs   0 meV/atom
Symmetry   F-43m (216)

a b c (Å): 4.757 4.757 4.757
angles (deg): 60.00 60.00 60.00
Positions (direct):
La1 0.000 0.000 0.000
Tc1 0.250 0.250 0.250
Te1 0.500 0.500 0.500



Record-wise uncorrected energy values, in eV/atom: -5.5086 -5.3917 -9.1144 -5.8845 -2.8224 -5.8602 -6.8338 -3.7443 -6.0480 -5.3479 -4.1742 -6.3873